The following is a DFT calculation (PBE+U) of an optimized crystal structure of VBiO2F.

Lattice parameters (Å, degrees): 3.9379 3.9379 4.1440 90.00 90.00 90.00
Each line ends with the local moment (μB).
Fractional positions:
O  0.5000  0.0000  0.0000  0.01
O  0.0000  0.5000  0.0000  0.01
Bi  0.5000  0.5000  0.5000  -0.03
F  0.0000  0.0000  0.5000  0.01
V  0.0000  0.0000  0.0000  -0.28

Values from the calculation:
Uncorrected energy   -5.85 eV/atom
Symmetry   No. 123
Crystal system   tetragonal